This record from the Alexandria database describes crystalline SnCl3F at its relaxed geometry. The functional is PBE.

Calculated total energy = -12.1 eV/cell
Energy above the lowest structure with this stoichiometry = 1132 meV per atom
Formation energy from raw total energies = -0.1445 eV per atom

Cell lengths 4.7706, 4.7706, 4.7706 Å; angles 90.00, 90.00, 90.00 degrees
Sites, in units of the cell vectors:
Sn (0.5000, 0.5000, 0.5000)
Cl (0.0000, 0.0000, 0.5000)
Cl (0.0000, 0.5000, 0.0000)
Cl (0.5000, 0.0000, 0.0000)
F (0.0000, 0.0000, 0.0000)



This record from the Alexandria database describes crystalline La2Nd4HoEr at its relaxed geometry. The functional is PBE.

Calculated total energy = -37.9 eV/cell
Energy of formation from the pure elements = 0.56 kcal/mol of atoms

Cell lengths 5.1758, 5.1447, 11.6059 Å; angles 63.58, 90.00, 90.00 degrees
Sites, in units of the cell vectors:
Ho (0.5000, 0.5000, 0.0000)
La (0.5000, 0.0000, 0.5000)
La (0.0000, 0.0000, 0.0000)
Nd (0.5000, 0.2496, 0.7503)
Nd (0.5000, 0.7504, 0.2497)
Nd (0.0000, 0.2489, 0.2508)
Nd (0.0000, 0.7511, 0.7492)
Er (0.0000, 0.5000, 0.5000)



This record from the Alexandria database describes crystalline Rb2Mg2B at its relaxed geometry. The functional is PBE.

Calculated total energy = -3.2 eV/cell
Energy of formation from the pure elements = 39.83 kcal/mol of atoms
Energy above the lowest structure with this stoichiometry = 781 meV per atom

Cell lengths 6.8903, 6.8903, 8.1107 Å; angles 90.00, 90.00, 90.00 degrees
Sites, in units of the cell vectors:
B (0.5000, 0.5000, 0.5000)
Mg (0.0000, 0.5000, 0.0000)
Mg (0.5000, 0.0000, 0.0000)
Rb (0.0000, 0.0000, 0.0000)
Rb (0.0000, 0.0000, 0.5000)



This record from the Alexandria database describes crystalline YCuSnW2 at its relaxed geometry. The functional is PBE.

Calculated total energy = -30.0 eV/cell
Energy of formation from the pure elements = 48.51 kcal/mol of atoms

Cell lengths 4.9525, 5.4853, 4.9525 Å; angles 90.00, 90.00, 90.00 degrees
Sites, in units of the cell vectors:
Sn (0.0000, 0.0000, 0.0000)
Y (0.0000, 0.5000, 0.0000)
W (0.0000, 0.0000, 0.5000)
W (0.5000, 0.0000, 0.0000)
Cu (0.5000, 0.5000, 0.5000)



Which value of calculated total energy does entry 3 give? -3.2 eV/cell